Entry 1:
ReIr5 | GGA-PBEsol | relaxed

Geometry as POSCAR:
```
ReIr5
1.0
-0.4790 -2.6889 0.1082
2.2506 -0.2506 3.7383
-5.7207 2.5527 3.6152
Ir Re
5 1
Direct
0.6666 0.0000 0.3335
0.9994 0.0000 0.9990
0.3342 0.0000 0.6686
0.4469 0.5000 0.8936
0.7757 0.5000 0.5511
0.1103 0.5000 0.2209
```

Summary:
Space-group type: Amm2 (38)
Formation energy: -81.8 meV per atom
Uncorrected energy: -10.49 eV/atom

=====

Entry 2:
ReIr | GGA-PBEsol | relaxed

Geometry as POSCAR:
```
ReIr
1.0
3.8781 0.0000 0.0000
0.0000 3.8781 0.0000
-1.9390 -1.9390 3.7878
Ir Re
2 2
Direct
0.7500 0.2500 0.5000
0.5000 0.5000 0.0000
0.2500 0.7500 0.5000
0.0000 0.0000 0.0000
```

Summary:
Space-group type: I4_1/amd (141)
Formation energy: -129.0 meV per atom
Uncorrected energy: -11.71 eV/atom

=====

Entry 3:
ReIr | GGA-PBEsol | relaxed

Geometry as POSCAR:
```
ReIr
1.0
-1.9083 -1.8254 0.6452
-0.0308 -1.4242 -4.1204
3.4119 -3.1864 1.0759
Ir Re
2 2
Direct
0.5000 0.7500 0.3330
0.5000 0.2500 0.6670
0.0000 0.2500 0.1641
0.0000 0.7500 0.8359
```

Summary:
Space-group type: Pmma (51)
Formation energy: -292.5 meV per atom
Uncorrected energy: -11.87 eV/atom

=====

Entry 4:
ReIr | GGA-PBEsol | relaxed

Geometry as POSCAR:
```
ReIr
1.0
-3.4504 0.3886 -2.5183
-2.1705 -3.4933 -1.2180
-4.1344 -0.7268 1.8997
Re Ir
2 2
Direct
0.6660 0.6660 0.0019
0.3340 0.3340 0.9981
0.1121 0.1121 0.6636
0.8879 0.8879 0.3364
```

Summary:
Space-group type: R-3m (166)
Formation energy: 371.9 meV per atom
Uncorrected energy: -11.21 eV/atom

=====

Entry 5:
ReIr2 | GGA-PBEsol | relaxed

Geometry as POSCAR:
```
ReIr2
1.0
-0.2029 0.0176 -2.7215
-4.1977 -1.1154 0.3058
-1.7177 6.8869 1.5409
Ir Re
4 2
Direct
0.7241 0.7500 0.4481
0.2759 0.2500 0.5519
0.0541 0.7500 0.1081
0.9459 0.2500 0.8919
0.3876 0.7500 0.7752
0.6124 0.2500 0.2248
```

Summary:
Space-group type: Cmcm (63)
Formation energy: -237.2 meV per atom
Uncorrected energy: -11.23 eV/atom

=====

Entry 6:
ReIr8 | GGA-PBEsol | relaxed

Geometry as POSCAR:
```
ReIr8
1.0
-3.1050 1.9944 1.0286
-0.1817 0.2741 6.0543
1.5257 5.8554 0.3867
Ir Re
8 1
Direct
0.6689 0.3311 0.3311
0.0000 0.6689 0.3311
0.3370 0.0000 0.3261
0.3311 0.6689 0.6689
0.0000 0.3311 0.6689
0.6630 0.6739 0.0000
0.3370 0.3261 0.0000
0.6630 0.0000 0.6739
0.0000 0.0000 0.0000
```

Summary:
Space-group type: I4/mmm (139)
Formation energy: -93.4 meV per atom
Uncorrected energy: -10.31 eV/atom